The following is a DFT calculation (PBE) of a relaxed structure of La2CdNiSb.

total moment: 0.0 μB/f.u.
ΔE_f (raw): -0.5629 eV/atom

Lattice parameters (Å, degrees): 5.3502 5.3502 4.9255 90.00 90.00 90.00
Last column: nearest neighbours and their distance in Å.
Fractional coordinates of all 5 atoms:
La1 0.0000 0.5000 0.0000  2 Ni 2.68
La2 0.5000 0.0000 0.0000  2 Ni 2.68
Cd1 0.0000 0.0000 0.5000  2 Ni 2.46
Ni1 0.0000 0.0000 0.0000  2 Cd 2.46, 4 La 2.68
Sb1 0.5000 0.5000 0.5000  8 La 3.64, 4 Cd 3.78